# 1
# Ba2Co2ClF7

Crystalline Ba2Co2ClF7 at its relaxed geometry (PBE+U, the Alexandria database).

Unit cell a=5.873 b=7.831 c=9.043 alpha=72.72 beta=90.00 gamma=90.00
Atoms (fractional coordinates):
Ba 0.750 0.300 0.927
Ba 0.250 0.700 0.073
Ba 0.250 0.667 0.588
Ba 0.750 0.333 0.412
Co 0.250 0.173 0.734
Co 0.750 0.827 0.266
Co 0.750 0.817 0.824
Co 0.250 0.183 0.176
Cl 0.750 0.882 0.530
Cl 0.250 0.118 0.470
F 0.993 0.630 0.839
F 0.002 0.361 0.655
F 0.250 0.255 0.933
F 0.499 0.994 0.830
F 0.507 0.630 0.839
F 0.998 0.639 0.345
F 0.498 0.361 0.655
F 0.007 0.370 0.161
F 0.999 0.006 0.170
F 0.501 0.006 0.170
F 0.493 0.370 0.161
F 0.001 0.994 0.830
F 0.750 0.745 0.067
F 0.502 0.639 0.345


# 2
# Ba2FeCoClF7

Crystalline Ba2FeCoClF7 at its relaxed geometry (PBE+U, the Alexandria database).

Unit cell a=5.930 b=7.794 c=9.074 alpha=73.45 beta=90.00 gamma=90.00
Atoms (fractional coordinates):
Ba 0.250 0.666 0.590
Ba 0.750 0.334 0.410
Ba 0.250 0.696 0.073
Ba 0.750 0.304 0.927
Fe 0.250 0.172 0.732
Fe 0.750 0.828 0.268
Co 0.250 0.183 0.173
Co 0.750 0.817 0.827
Cl 0.250 0.115 0.464
Cl 0.750 0.885 0.536
F 0.250 0.260 0.934
F 0.750 0.740 0.066
F 0.998 0.996 0.831
F 0.498 0.004 0.169
F 0.002 0.004 0.169
F 0.502 0.996 0.831
F 0.007 0.370 0.160
F 0.507 0.630 0.840
F 0.993 0.630 0.840
F 0.493 0.370 0.160
F 0.998 0.361 0.653
F 0.498 0.639 0.347
F 0.002 0.639 0.347
F 0.502 0.361 0.653


Uncorrected energy? In order: -63.27, -64.75 eV per formula unit.
Magnetic moment? In order: 0.500, 0.583 μB/atom.